1.
## MgGaC3 (meta-GGA SCAN)

Data for a crystal of MgGaC3 relaxed with PBEsol.

a = 3.9652 Å, b = 3.9652 Å, c = 3.9652 Å
α = 90.00°, β = 90.00°, γ = 90.00°
Last column: nearest neighbours and their distance in Å.
Element x y z (fractional)
Mg 0.5000 0.5000 0.5000  12 C 2.80
C 0.0000 0.5000 0.0000  2 Ga 1.98
C 0.0000 0.0000 0.5000  2 Ga 1.98
C 0.5000 0.0000 0.0000  2 Ga 1.98
Ga 0.0000 0.0000 0.0000  6 C 1.98

Spin magnetization, Bohr magnetons per cell: 0.00
DOS at the Fermi energy, states/eV/f.u.: 2.67
Space-group type: Pm-3m (221)
ΔH_f (0 K), eV per atom: 2.361
Final energy, eV/atom: -7.9625

---

2.
## CrPt2SeN (meta-GGA SCAN)

Data for a crystal of CrPt2SeN relaxed with PBEsol.

a = 3.4388 Å, b = 4.7609 Å, c = 4.7609 Å
α = 90.00°, β = 90.00°, γ = 90.00°
Last column: nearest neighbours and their distance in Å.
Element x y z (fractional)
Cr 0.0000 0.0000 0.0000  2 N 1.72
Se 0.5000 0.5000 0.5000  8 Pt 2.94
Pt 0.0000 0.0000 0.5000  2 Cr 2.38
Pt 0.0000 0.5000 0.0000  2 Cr 2.38
N 0.5000 0.0000 0.0000  2 Cr 1.72

Spin magnetization, Bohr magnetons per cell: 0.00
DOS at the Fermi energy, states/eV/f.u.: 2.57
Raw formation energy, kJ/mol of atoms: 72.3
Space-group type: P4/mmm (123)
Final energy, eV/atom: -36.8791

---

3.
## Fe2SbSe (meta-GGA SCAN)

Data for a crystal of Fe2SbSe relaxed with PBEsol.

a = 3.2484 Å, b = 3.4743 Å, c = 6.0224 Å
α = 89.99°, β = 90.00°, γ = 90.00°
Last column: nearest neighbours and their distance in Å.
Element x y z (fractional)
Fe 0.0000 0.4999 0.7084  2 Se 2.39, 1 Fe 2.51
Fe 0.0000 0.5001 0.2916  2 Se 2.39, 1 Fe 2.51
Sb 0.5000 0.0000 0.5000  8 Fe 2.69
Se 0.5000 0.5000 0.0000  4 Fe 2.39

Spin magnetization, Bohr magnetons per cell: 5.40
DOS at the Fermi energy, states/eV/f.u.: 3.36
Raw formation energy, kJ/mol of atoms: 25.0
Space-group type: Pmmm (47)
Energy relative to the lowest polymorph listed for this composition, meV per atom: 221
Final energy, eV/atom: -23.1405